The following is a DFT calculation (SCAN) of Cs2CuAuF6 at its PBEsol-relaxed geometry.

Lattice parameters (Å, degrees): 6.068 6.068 6.068 60.00 60.00 60.00
Atoms (fractional coordinates):
1 Cs 0.250 0.250 0.250
2 Cs 0.750 0.750 0.750
3 Cu 0.000 0.000 0.000
4 Au 0.500 0.500 0.500
5 F 0.234 0.234 0.766
6 F 0.234 0.766 0.234
7 F 0.234 0.766 0.766
8 F 0.766 0.234 0.234
9 F 0.766 0.234 0.766
10 F 0.766 0.766 0.234

Computed properties:
**Total energy**: -201.3 eV for the cell shown
**DOS at the Fermi energy**: 2.9 states/eV/f.u.
**SG**: Fm-3m
**Crystal system**: cubic

The following is a DFT calculation (SCAN) of Cs3AuF at its PBEsol-relaxed geometry.

Lattice parameters (Å, degrees): 5.731 5.731 5.731 90.00 90.00 90.00
Atoms (fractional coordinates):
1 Cs 0.000 0.000 0.500
2 Cs 0.000 0.500 0.000
3 Cs 0.500 0.000 0.000
4 Au 0.500 0.500 0.500
5 F 0.000 0.000 0.000

Computed properties:
**Total energy**: -192.5 eV for the cell shown
**DOS at the Fermi energy**: 2.8 states/eV/f.u.
**SG**: Pm-3m
**Crystal system**: cubic